# FePd2O6 (PBE with a Hubbard U, relaxed)
data_FePd2O6
_space_group_name_H-M_alt 'P -3 1 m'
_space_group_IT_number 162
_space_group_name_Hall '-P 3 2'
_cell_length_a 5.3355
_cell_length_b 5.3355
_cell_length_c 4.6317
_cell_angle_alpha 90.00
_cell_angle_beta 90.00
_cell_angle_gamma 120.00
loop_
_atom_site_label
_atom_site_fract_x
_atom_site_fract_y
_atom_site_fract_z
Fe1 0.0000 0.0000 0.0000
Pd1 0.3333 0.6667 0.0000
O1 0.0000 0.3310 0.2096
# Energy above the most stable polymorph in this dataset   0.0000 eV per atom